# 1
InCu3Te4Ir | PBE | optimized geometry

a b c (Å): 6.2877 6.2877 6.2877
angles (deg): 90.00 90.00 90.00
Last column: nearest neighbours and their distance in Å.
Fractional positions:
Cu  0.5000  0.5000  0.0000  4 Te 2.68
Cu  0.5000  0.0000  0.5000  4 Te 2.68
Cu  0.0000  0.5000  0.5000  4 Te 2.68
In  0.0000  0.0000  0.0000  4 Te 2.87
Ir  0.5000  0.5000  0.5000  4 Te 2.58
Te  0.2635  0.2635  0.2635  1 Ir 2.58, 3 Cu 2.68, 1 In 2.87
Te  0.7365  0.7365  0.2635  1 Ir 2.58, 3 Cu 2.68, 1 In 2.87
Te  0.7365  0.2635  0.7365  1 Ir 2.58, 3 Cu 2.68, 1 In 2.87
Te  0.2635  0.7365  0.7365  1 Ir 2.58, 3 Cu 2.68, 1 In 2.87

SG = No. 215

# 2
InCu2Te4Ir | PBE | optimized geometry

a b c (Å): 7.4822 7.4822 7.4822
angles (deg): 131.71 131.71 70.68
Last column: nearest neighbours and their distance in Å.
Fractional positions:
Cu  0.5000  0.5000  0.0000  4 Te 2.59
Cu  0.7500  0.2500  0.5000  4 Te 2.59
In  0.0000  0.0000  0.0000  4 Te 2.87
Ir  0.2500  0.7500  0.5000  4 Te 2.57
Te  0.1363  0.5952  0.0030  1 Ir 2.57, 2 Cu 2.59, 1 In 2.87
Te  0.8667  0.8637  0.4590  1 Ir 2.57, 2 Cu 2.59, 1 In 2.87
Te  0.4048  0.4078  0.5410  1 Ir 2.57, 2 Cu 2.59, 1 In 2.87
Te  0.5922  0.1333  0.9970  1 Ir 2.57, 2 Cu 2.59, 1 In 2.87

SG = No. 82

| no. | total DFT energy (no corrections) (eV/cell) |
| --- | --- |
| 1 | -34.27 |
| 2 | -31.92 |